DFT (GGA-PBE) results for a geometry-optimized ReSiNi structure. Values from VASP.

```
&SYSTEM
  ibrav = 0, nat = 3, ntyp = 3
/
ATOMIC_SPECIES
Re 186.21 Re.upf
Si 28.09 Si.upf
Ni 58.69 Ni.upf
CELL_PARAMETERS angstrom
2.734 0.000 0.000
-1.367 2.368 0.000
0.000 0.000 5.999
ATOMIC_POSITIONS crystal
Re 0.667 0.333 0.336
Si 0.333 0.667 0.684
Ni 0.000 0.000 0.980
```

## Properties
Energy above the most stable polymorph in this dataset: 0.0814 eV per atom
Raw formation energy: -61.4 meV/atom